# 1
DFT (GGA+U) results for crystalline VPbNO2 at its relaxed geometry.

Summary:
The space-group type is P4/mmm (123). As for the volume: 80.34 Å³/cell. The value obtained for the total magnetization is 1.95 μB per formula unit. The value obtained for the total energy is -26.58 eV for the cell shown.

Structure (POSCAR):
```
VPbNO2
1.0
4.2594 0.0000 0.0000
0.0000 4.2594 0.0000
0.0000 0.0000 4.4282
V Pb N O
1 1 1 2
Direct
0.0000 0.0000 0.0000
0.5000 0.5000 0.5000
0.5000 0.5000 0.0000
0.0000 0.5000 0.5000
0.5000 0.0000 0.5000
```

---

# 2
DFT (GGA+U) results for crystalline VPbN2O at its relaxed geometry.

Summary:
The space-group type is P4/mmm (123). As for the volume: 77.82 Å³/cell. The value obtained for the total magnetization is 1.23 μB per formula unit. The value obtained for the total energy is -25.78 eV for the cell shown.

Structure (POSCAR):
```
VPbN2O
1.0
4.3077 0.0000 0.0000
0.0000 4.3077 0.0000
0.0000 0.0000 4.1937
V Pb N O
1 1 2 1
Direct
0.0000 0.0000 0.0000
0.5000 0.5000 0.5000
0.0000 0.5000 0.5000
0.5000 0.0000 0.5000
0.5000 0.5000 0.0000
```

---

# 3
DFT (GGA+U) results for crystalline PbWNO2 at its relaxed geometry.

Summary:
The space-group type is P4/mmm (123). As for the volume: 75.76 Å³/cell. The value obtained for the total magnetization is 3.02 μB per formula unit. The value obtained for the total energy is -25.46 eV for the cell shown.

Structure (POSCAR):
```
PbWNO2
1.0
4.1199 0.0000 0.0000
0.0000 4.1199 0.0000
0.0000 0.0000 4.4631
Pb W N O
1 1 1 2
Direct
0.0000 0.0000 0.0000
0.5000 0.5000 0.5000
0.0000 0.0000 0.5000
0.0000 0.5000 0.0000
0.5000 0.0000 0.0000
```

---

# 4
DFT (GGA+U) results for crystalline PbWNO2 at its relaxed geometry.

Summary:
The space-group type is P4/mmm (123). As for the volume: 69.46 Å³/cell. The value obtained for the total magnetization is 1.00 μB per formula unit. The value obtained for the total energy is -34.00 eV for the cell shown.

Structure (POSCAR):
```
PbWNO2
1.0
4.1560 0.0000 0.0000
0.0000 4.1560 0.0000
0.0000 0.0000 4.0216
Pb W N O
1 1 1 2
Direct
0.0000 0.0000 0.0000
0.5000 0.5000 0.5000
0.5000 0.5000 0.0000
0.0000 0.5000 0.5000
0.5000 0.0000 0.5000
```